This record from Alexandria via LeMat-Bulk describes an optimized crystal structure of ZrAlI. The functional is PBE.

Unit cell a=4.1730 b=5.1404 c=9.7134 alpha=91.23 beta=102.10 gamma=113.94
Positions (direct):
Zr  0.0000  0.0000  0.0000
Zr  0.2342  0.6406  0.8229
Al  0.3859  0.6555  0.1191
Al  0.6841  0.3946  0.9731
I  0.2896  0.2792  0.3079
I  0.8280  0.9736  0.6745

Computed properties:
* calculated volume: 30.8 A^3/atom
* DFT total energy: -4.86 eV per atom
* spin magnetization: 0.001 μB/cell
* SG: P1 (1)
* uncorrected formation energy: -0.251 eV per atom